DFT (PBE) results for crystalline Pu2IF4 at its relaxed geometry.

Structure (CIF):
```
data_Pu2IF4
_cell_length_a 4.2160
_cell_length_b 4.2160
_cell_length_c 25.5875
_cell_angle_alpha 90.00
_cell_angle_beta 90.00
_cell_angle_gamma 120.00
_symmetry_space_group_name_H-M 'R -3 m'
_symmetry_Int_Tables_number 166
_symmetry_space_group_name_Hall '-R 3 2"'
loop_
_atom_site_label
_atom_site_type_symbol
_atom_site_fract_x
_atom_site_fract_y
_atom_site_fract_z
_atom_site_occupancy
Pu1 Pu 0.0000 0.0000 0.2337 1
I1 I 0.0000 0.0000 0.0000 1
F1 F 0.0000 0.0000 0.1393 1
F2 F 0.0000 0.0000 0.4297 1
```

Total moment = 11.00 μB per formula unit
DOS(E_F) = 61.66 states/eV/cell
Calculated density = 8.74 g/cm³
ΔE_f (raw) = -3.015 eV/atom

DFT (PBE) results for crystalline Cs2In3SbPb4 at its relaxed geometry.

Structure (CIF):
```
data_Cs2In3SbPb4
_cell_length_a 5.409
_cell_length_b 5.409
_cell_length_c 12.831
_cell_angle_alpha 90.00
_cell_angle_beta 90.00
_cell_angle_gamma 90.00
_symmetry_space_group_name_H-M 'P -4 m 2'
_symmetry_Int_Tables_number 115
loop_
_symmetry_equiv_pos_as_xyz
'x,y,z'
'y,-x,-z'
'-x,-y,z'
'-y,x,-z'
'-x,y,z'
'-y,-x,-z'
'x,-y,z'
'y,x,-z'
loop_
_atom_site_label
_atom_site_type_symbol
_atom_site_fract_x
_atom_site_fract_y
_atom_site_fract_z
_atom_site_occupancy
Cs1 Cs 0.000 0.500 0.245 1
In1 In 0.000 0.000 0.000 1
In2 In 0.000 0.500 0.626 1
Sb1 Sb 0.500 0.500 0.000 1
Pb1 Pb 0.000 0.000 0.500 1
Pb2 Pb 0.000 0.500 0.874 1
Pb3 Pb 0.500 0.500 0.500 1
```

Total moment = 0.00 μB per formula unit
DOS(E_F) = 5.01 states/eV/cell
Calculated density = 6.90 g/cm³
ΔE_f (raw) = -0.125 eV/atom

DFT (PBE) results for crystalline PuPb2O5 at its relaxed geometry.

Structure (CIF):
```
data_PuPb2O5
_cell_length_a 12.199
_cell_length_b 4.222
_cell_length_c 5.967
_cell_angle_alpha 90.00
_cell_angle_beta 118.56
_cell_angle_gamma 90.00
_symmetry_space_group_name_H-M 'C 1 2/m 1'
_symmetry_Int_Tables_number 12
loop_
_symmetry_equiv_pos_as_xyz
'x,y,z'
'-x,-y,-z'
'-x,y,-z'
'x,-y,z'
'x+1/2,y+1/2,z'
'-x+1/2,-y+1/2,-z'
'-x+1/2,y+1/2,-z'
'x+1/2,-y+1/2,z'
loop_
_atom_site_label
_atom_site_type_symbol
_atom_site_fract_x
_atom_site_fract_y
_atom_site_fract_z
_atom_site_occupancy
Pu1 Pu 0.000 0.000 0.000 1
Pb1 Pb 0.173 0.500 0.682 1
O1 O 0.000 0.500 0.000 1
O2 O 0.139 0.000 0.368 1
O3 O 0.145 0.000 0.905 1
```

Total moment = 2.00 μB per formula unit
DOS(E_F) = 6.13 states/eV/cell
Calculated density = 9.09 g/cm³
ΔE_f (raw) = -1.870 eV/atom

DFT (PBE) results for crystalline LaTl2Pt at its relaxed geometry.

Structure (CIF):
```
data_LaTl2Pt
_cell_length_a 4.413
_cell_length_b 4.443
_cell_length_c 5.273
_cell_angle_alpha 90.00
_cell_angle_beta 90.00
_cell_angle_gamma 90.00
_symmetry_space_group_name_H-M 'P m m m'
_symmetry_Int_Tables_number 47
loop_
_symmetry_equiv_pos_as_xyz
'x,y,z'
'-x,-y,-z'
'-x,-y,z'
'x,y,-z'
'x,-y,-z'
'-x,y,z'
'-x,y,-z'
'x,-y,z'
loop_
_atom_site_label
_atom_site_type_symbol
_atom_site_fract_x
_atom_site_fract_y
_atom_site_fract_z
_atom_site_occupancy
La1 La 0.000 0.000 0.000 1
Tl1 Tl 0.000 0.500 0.500 1
Tl2 Tl 0.500 0.000 0.500 1
Pt1 Pt 0.500 0.500 0.000 1
```

Formation energy = -0.43 eV per atom
Total moment = 0.00 μB per formula unit
DOS(E_F) = 2.26 states/eV/cell
Calculated density = 11.93 g/cm³

DFT (PBE) results for crystalline FeAuCl at its relaxed geometry.

Structure (CIF):
```
data_FeAuCl
_cell_length_a 4.4023
_cell_length_b 4.4023
_cell_length_c 3.0774
_cell_angle_alpha 90.00
_cell_angle_beta 90.00
_cell_angle_gamma 120.00
_symmetry_space_group_name_H-M 'P -6 m 2'
_symmetry_Int_Tables_number 187
_symmetry_space_group_name_Hall 'P -6 2'
loop_
_atom_site_label
_atom_site_type_symbol
_atom_site_fract_x
_atom_site_fract_y
_atom_site_fract_z
_atom_site_occupancy
Fe1 Fe 0.0000 0.0000 0.0000 1
Au1 Au 0.3333 0.6667 0.5000 1
Cl1 Cl 0.6667 0.3333 0.0000 1
```

Total moment = 3.15 μB per formula unit
DOS(E_F) = 3.41 states/eV/cell
Calculated density = 9.27 g/cm³
ΔE_f (raw) = 0.456 eV/atom

DFT (PBE) results for crystalline Rb3LaP at its relaxed geometry.

Structure (CIF):
```
data_Rb3LaP
_cell_length_a 6.836
_cell_length_b 6.836
_cell_length_c 6.836
_cell_angle_alpha 90.00
_cell_angle_beta 90.00
_cell_angle_gamma 90.00
_symmetry_space_group_name_H-M 'P m -3 m'
_symmetry_Int_Tables_number 221
_symmetry_space_group_name_Hall '-P 4 2 3'
loop_
_atom_site_label
_atom_site_type_symbol
_atom_site_fract_x
_atom_site_fract_y
_atom_site_fract_z
_atom_site_occupancy
Rb1 Rb 0.000 0.000 0.500 1
La1 La 0.000 0.000 0.000 1
P1 P 0.500 0.500 0.500 1
```

Formation energy = 1.28 eV per atom
Total moment = 4.03 μB per formula unit
DOS(E_F) = 15.10 states/eV/cell
Calculated density = 2.22 g/cm³

DFT (PBE) results for crystalline Ac3Zn2Ag4 at its relaxed geometry.

Structure (CIF):
```
data_Ac3Zn2Ag4
_cell_length_a 11.606
_cell_length_b 4.776
_cell_length_c 9.237
_cell_angle_alpha 90.00
_cell_angle_beta 110.26
_cell_angle_gamma 90.00
_symmetry_space_group_name_H-M 'C 1 2/m 1'
_symmetry_Int_Tables_number 12
loop_
_symmetry_equiv_pos_as_xyz
'x,y,z'
'-x,-y,-z'
'-x,y,-z'
'x,-y,z'
'x+1/2,y+1/2,z'
'-x+1/2,-y+1/2,-z'
'-x+1/2,y+1/2,-z'
'x+1/2,-y+1/2,z'
loop_
_atom_site_label
_atom_site_type_symbol
_atom_site_fract_x
_atom_site_fract_y
_atom_site_fract_z
_atom_site_occupancy
Ac1 Ac 0.000 0.000 0.000 1
Ac2 Ac 0.164 0.500 0.668 1
Zn1 Zn 0.114 0.500 0.283 1
Ag1 Ag 0.062 0.000 0.388 1
Ag2 Ag 0.218 0.500 0.061 1
```

Formation energy = -0.32 eV per atom
Total moment = 0.00 μB per formula unit
DOS(E_F) = 11.81 states/eV/cell
Calculated density = 8.60 g/cm³

DFT (PBE) results for crystalline HfHg at its relaxed geometry.

Structure (CIF):
```
data_HfHg
_cell_length_a 11.688
_cell_length_b 4.855
_cell_length_c 5.998
_cell_angle_alpha 90.00
_cell_angle_beta 90.00
_cell_angle_gamma 90.00
_symmetry_space_group_name_H-M 'P n m a'
_symmetry_Int_Tables_number 62
loop_
_symmetry_equiv_pos_as_xyz
'x,y,z'
'-x,-y,-z'
'-x+1/2,-y,z+1/2'
'x+1/2,y,-z+1/2'
'x+1/2,-y+1/2,-z+1/2'
'-x+1/2,y+1/2,z+1/2'
'-x,y+1/2,-z'
'x,-y+1/2,z'
loop_
_atom_site_label
_atom_site_type_symbol
_atom_site_fract_x
_atom_site_fract_y
_atom_site_fract_z
_atom_site_occupancy
Hf1 Hf 0.059 0.250 0.136 1
Hf2 Hf 0.185 0.750 0.387 1
Hg1 Hg 0.067 0.250 0.639 1
Hg2 Hg 0.191 0.750 0.891 1
```

Formation energy = 0.03 eV per atom
Total moment = 0.00 μB per formula unit
DOS(E_F) = 16.32 states/eV/cell
Calculated density = 14.79 g/cm³

DFT (PBE) results for crystalline InBiTeO5 at its relaxed geometry.

Structure (CIF):
```
data_InBiTeO5
_cell_length_a 7.868
_cell_length_b 9.468
_cell_length_c 7.623
_cell_angle_alpha 90.00
_cell_angle_beta 114.00
_cell_angle_gamma 90.00
_symmetry_space_group_name_H-M 'C 1 2/c 1'
_symmetry_Int_Tables_number 15
loop_
_symmetry_equiv_pos_as_xyz
'x,y,z'
'-x,-y,-z'
'-x,y,-z+1/2'
'x,-y,z+1/2'
'x+1/2,y+1/2,z'
'-x+1/2,-y+1/2,-z'
'-x+1/2,y+1/2,-z+1/2'
'x+1/2,-y+1/2,z+1/2'
loop_
_atom_site_label
_atom_site_type_symbol
_atom_site_fract_x
_atom_site_fract_y
_atom_site_fract_z
_atom_site_occupancy
In1 In 0.250 0.250 0.000 1
Bi1 Bi 0.000 0.038 0.250 1
Te1 Te 0.000 0.472 0.250 1
O1 O 0.000 0.187 0.750 1
O2 O 0.037 0.336 0.088 1
O3 O 0.206 0.027 0.076 1
```

Total moment = 0.00 μB per formula unit
DOS(E_F) = 0.00 states/eV/cell
Calculated density = 6.80 g/cm³
ΔE_f (raw) = -1.188 eV/atom

DFT (PBE) results for crystalline CaCeNd2Te4 at its relaxed geometry.

Structure (CIF):
```
data_CaCeNd2Te4
_cell_length_a 7.786
_cell_length_b 4.473
_cell_length_c 7.826
_cell_angle_alpha 90.00
_cell_angle_beta 109.17
_cell_angle_gamma 90.00
_symmetry_space_group_name_H-M 'P 1 2/m 1'
_symmetry_Int_Tables_number 10
loop_
_symmetry_equiv_pos_as_xyz
'x,y,z'
'-x,-y,-z'
'-x,y,-z'
'x,-y,z'
loop_
_atom_site_label
_atom_site_type_symbol
_atom_site_fract_x
_atom_site_fract_y
_atom_site_fract_z
_atom_site_occupancy
Ca1 Ca 0.000 0.000 0.000 1
Ce1 Ce 0.000 0.500 0.500 1
Nd1 Nd 0.500 0.000 0.500 1
Nd2 Nd 0.500 0.500 0.000 1
Te1 Te 0.246 0.500 0.246 1
Te2 Te 0.247 0.000 0.752 1
```

Total moment = 1.18 μB per formula unit
DOS(E_F) = 9.79 states/eV/cell
Calculated density = 6.32 g/cm³
ΔE_f (raw) = -1.452 eV/atom

DFT (PBE) results for crystalline Si2AsCl at its relaxed geometry.

Structure (CIF):
```
data_Si2AsCl
_cell_length_a 5.055
_cell_length_b 5.055
_cell_length_c 2.921
_cell_angle_alpha 90.00
_cell_angle_beta 90.00
_cell_angle_gamma 90.00
_symmetry_space_group_name_H-M 'P 4/m m m'
_symmetry_Int_Tables_number 123
_symmetry_space_group_name_Hall '-P 4 2'
loop_
_atom_site_label
_atom_site_type_symbol
_atom_site_fract_x
_atom_site_fract_y
_atom_site_fract_z
_atom_site_occupancy
Si1 Si 0.000 0.500 0.000 1
As1 As 0.000 0.000 0.500 1
Cl1 Cl 0.500 0.500 0.500 1
```

Total moment = 0.00 μB per formula unit
DOS(E_F) = 1.56 states/eV/cell
Calculated density = 3.70 g/cm³
ΔE_f (raw) = 0.516 eV/atom